1.
The following is a DFT calculation (PBE) of crystalline Li2MgNbO4 at its relaxed geometry.

## Properties
* uncorrected formation energy: -2.3510 eV/atom
* volume: 9.81 Å³/atom
* final energy: -54.1 eV/cell

Cell lengths 4.183, 4.183, 5.374 Å; angles 112.91, 112.91, 90.00 degrees
Element x y z (fractional)
O 0.991 0.491 0.982
O 0.730 0.730 0.459
O 0.270 0.270 0.541
O 0.509 0.009 0.018
Nb 0.500 0.500 0.000
Li 0.250 0.750 0.500
Li 0.000 0.000 0.000
Mg 0.750 0.250 0.500

---

2.
The following is a DFT calculation (PBE) of crystalline LiMgNbP2 at its relaxed geometry.

## Properties
* DFT formation energy: 0.32 eV/atom
* volume: 22.56 Å³/atom
* final energy: -22.8 eV/cell

Cell lengths 4.801, 4.892, 4.801 Å; angles 90.00, 90.00, 90.00 degrees
Element x y z (fractional)
Mg 0.500 0.500 0.500
P 0.500 0.000 0.000
P 0.000 0.000 0.500
Nb 0.000 0.000 0.000
Li 0.000 0.500 0.000

---

3.
The following is a DFT calculation (PBE) of crystalline LiMgNbS2 at its relaxed geometry.

## Properties
* uncorrected formation energy: -0.2185 eV/atom
* volume: 24.47 Å³/atom
* final energy: -22.9 eV/cell

Cell lengths 4.830, 5.243, 4.830 Å; angles 90.00, 90.00, 90.00 degrees
Element x y z (fractional)
Mg 0.000 0.500 0.000
S 0.500 0.000 0.000
S 0.000 0.000 0.500
Nb 0.000 0.000 0.000
Li 0.500 0.500 0.500

---

4.
The following is a DFT calculation (PBE) of crystalline LiMgNbSb2 at its relaxed geometry.

## Properties
* uncorrected formation energy: 0.2243 eV/atom
* volume: 30.79 Å³/atom
* final energy: -20.7 eV/cell

Cell lengths 5.345, 5.387, 5.345 Å; angles 90.00, 90.00, 90.00 degrees
Element x y z (fractional)
Nb 0.000 0.000 0.000
Li 0.500 0.500 0.500
Mg 0.000 0.500 0.000
Sb 0.500 0.000 0.000
Sb 0.000 0.000 0.500

---

5.
The following is a DFT calculation (PBE) of crystalline LiMg2NbSb at its relaxed geometry.

## Properties
* uncorrected formation energy: 0.5653 eV/atom
* volume: 20.26 Å³/atom
* final energy: -16.5 eV/cell

Cell lengths 4.578, 4.832, 4.578 Å; angles 90.00, 90.00, 90.00 degrees
Element x y z (fractional)
Li 0.000 0.000 0.000
Mg 0.000 0.000 0.500
Mg 0.500 0.000 0.000
Nb 0.000 0.500 0.000
Sb 0.500 0.500 0.500

---

6.
The following is a DFT calculation (PBE) of crystalline LiMgNb2Si at its relaxed geometry.

## Properties
* uncorrected formation energy: 0.9102 eV/atom
* volume: 17.11 Å³/atom
* final energy: -24.5 eV/cell

Cell lengths 4.460, 4.303, 4.460 Å; angles 90.00, 90.00, 90.00 degrees
Element x y z (fractional)
Nb 0.500 0.000 0.000
Nb 0.000 0.000 0.500
Li 0.000 0.000 0.000
Mg 0.000 0.500 0.000
Si 0.500 0.500 0.500

---

7.
The following is a DFT calculation (PBE) of crystalline Li2NdMg2 at its relaxed geometry.

## Properties
* DFT formation energy: -0.02 eV/atom
* volume: 24.71 Å³/atom
* final energy: -11.9 eV/cell

Cell lengths 3.273, 5.178, 7.899 Å; angles 108.99, 101.96, 90.00 degrees
Element x y z (fractional)
Mg 0.393 0.394 0.785
Mg 0.607 0.606 0.215
Li 0.284 0.784 0.567
Li 0.716 0.216 0.433
Nd 0.000 0.000 0.000

---

8.
The following is a DFT calculation (PBE) of crystalline LiNdMg2 at its relaxed geometry.

## Properties
* DFT formation energy: 0.05 eV/atom
* volume: 26.15 Å³/atom
* final energy: -9.7 eV/cell

Cell lengths 3.345, 3.345, 10.963 Å; angles 81.22, 81.22, 60.00 degrees
Element x y z (fractional)
Li 0.667 0.667 0.999
Mg 0.257 0.257 0.230
Mg 0.077 0.077 0.770
Nd 0.500 0.500 0.501

---

9.
The following is a DFT calculation (PBE) of crystalline LiNdMg2 at its relaxed geometry.

## Properties
* DFT formation energy: 0.05 eV/atom
* volume: 26.79 Å³/atom
* final energy: -9.7 eV/cell

Cell lengths 4.646, 4.803, 4.803 Å; angles 90.00, 90.00, 90.00 degrees
Element x y z (fractional)
Li 0.500 0.000 0.000
Mg 0.000 0.500 0.000
Mg 0.000 0.000 0.500
Nd 0.500 0.500 0.500

---

10.
The following is a DFT calculation (PBE) of crystalline LiNdMg3 at its relaxed geometry.

## Properties
* DFT formation energy: 0.30 eV/atom
* volume: 29.17 Å³/atom
* final energy: -19.9 eV/cell

Cell lengths 5.630, 5.630, 10.025 Å; angles 106.31, 106.31, 90.00 degrees
Element x y z (fractional)
Nd 0.556 0.056 0.112
Nd 0.944 0.444 0.888
Mg 0.703 0.703 0.406
Mg 0.621 0.874 0.748
Mg 0.127 0.874 0.748
Mg 0.126 0.873 0.252
Mg 0.126 0.379 0.252
Mg 0.297 0.297 0.594
Li 0.250 0.750 0.500
Li 0.000 0.000 0.000

---

11.
The following is a DFT calculation (PBE) of crystalline LiNdMg2 at its relaxed geometry.

## Properties
* DFT formation energy: -0.07 eV/atom
* volume: 24.69 Å³/atom
* final energy: -10.1 eV/cell

Cell lengths 5.189, 5.189, 5.190 Å; angles 89.94, 120.03, 120.03 degrees
Element x y z (fractional)
Mg 0.625 0.063 0.687
Mg 0.125 0.813 0.938
Nd 0.625 0.563 0.188
Li 0.125 0.312 0.437

---

12.
The following is a DFT calculation (PBE) of crystalline LiNd6Mg at its relaxed geometry.

## Properties
* DFT formation energy: 0.01 eV/atom
* volume: 32.16 Å³/atom
* final energy: -32.0 eV/cell

Cell lengths 9.974, 9.974, 9.974 Å; angles 149.34, 149.34, 43.91 degrees
Element x y z (fractional)
Nd 0.613 0.113 0.500
Nd 0.113 0.613 0.500
Nd 0.250 0.250 0.000
Nd 0.387 0.887 0.500
Nd 0.750 0.750 0.000
Nd 0.887 0.387 0.500
Mg 0.500 0.500 0.000
Li 0.000 0.000 0.000

---

Number 6 is which compound? LiMgNb2Si

---

The highest volume belongs to which entry? LiNd6Mg